--- P ---
Compound: BaPaBi3
Source: Alexandria
Functional: GGA-PBE
Structure: optimized geometry

total moment = 2.6 μB per cell
calculated volume = 35.9 Å³ per atom
crystal system = orthorhombic

CIF file:
```
data_BaPaBi3
_cell_length_a 16.1528
_cell_length_b 6.5589
_cell_length_c 6.7831
_cell_angle_alpha 90.00
_cell_angle_beta 90.00
_cell_angle_gamma 90.00
_space_group_name_H-M_alt 'P b c m'
_space_group_IT_number 57
loop_
_space_group_symop_operation_xyz
'x,y,z'
'-x,-y,-z'
'-x,-y,z+1/2'
'x,y,-z+1/2'
'x,-y+1/2,-z'
'-x,y+1/2,z'
'-x,y+1/2,-z+1/2'
'x,-y+1/2,z+1/2'
loop_
_atom_site_label
_atom_site_fract_x
_atom_site_fract_y
_atom_site_fract_z
Ba1 0.1804 0.0297 0.2500
Pa1 0.4137 0.7500 0.0000
Bi1 0.0081 0.7500 0.0000
Bi2 0.2717 0.5339 0.2500
Bi3 0.4168 0.1753 0.2500
```

--- Q ---
Compound: BaPaBi3
Source: Alexandria
Functional: GGA-PBE
Structure: optimized geometry

total moment = 0.0 μB per cell
calculated volume = 43.3 Å³ per atom
crystal system = cubic

CIF file:
```
data_BaPaBi3
_cell_length_a 6.0055
_cell_length_b 6.0055
_cell_length_c 6.0055
_cell_angle_alpha 90.00
_cell_angle_beta 90.00
_cell_angle_gamma 90.00
_space_group_name_H-M_alt 'P m -3 m'
_space_group_IT_number 221
_space_group_name_Hall '-P 4 2 3'
loop_
_atom_site_label
_atom_site_fract_x
_atom_site_fract_y
_atom_site_fract_z
Ba1 0.0000 0.0000 0.0000
Pa1 0.5000 0.5000 0.5000
Bi1 0.0000 0.5000 0.5000
```

Stability ranking, top and bottom: P is the most stable and Q is the least stable.

--- P ---
Compound: Ba2BiPb
Source: Alexandria
Functional: GGA-PBE
Structure: optimized geometry

total moment = 0.0 μB per cell
calculated volume = 39.5 Å³ per atom
crystal system = tetragonal

CIF file:
```
data_Ba2BiPb
_cell_length_a 5.6524
_cell_length_b 5.6524
_cell_length_c 4.9399
_cell_angle_alpha 90.00
_cell_angle_beta 90.00
_cell_angle_gamma 90.00
_space_group_name_H-M_alt 'P 4/m m m'
_space_group_IT_number 123
_space_group_name_Hall '-P 4 2'
loop_
_atom_site_label
_atom_site_fract_x
_atom_site_fract_y
_atom_site_fract_z
Ba1 0.0000 0.5000 0.0000
Bi1 0.0000 0.0000 0.5000
Pb1 0.5000 0.5000 0.5000
```

--- Q ---
Compound: Ba2BiPb
Source: Alexandria
Functional: GGA-PBE
Structure: optimized geometry

total moment = 0.0 μB per cell
calculated volume = 43.1 Å³ per atom
crystal system = tetragonal

CIF file:
```
data_Ba2BiPb
_cell_length_a 9.5825
_cell_length_b 9.5825
_cell_length_c 7.5054
_cell_angle_alpha 90.00
_cell_angle_beta 90.00
_cell_angle_gamma 90.00
_space_group_name_H-M_alt 'I -4 2 d'
_space_group_IT_number 122
_space_group_name_Hall 'I -4 2bw'
loop_
_atom_site_label
_atom_site_fract_x
_atom_site_fract_y
_atom_site_fract_z
Ba1 0.2409 0.2500 0.1250
Bi1 0.0000 0.0000 0.0000
Pb1 0.0000 0.0000 0.5000
```

Stability ranking, top and bottom: P is the most stable and Q is the least stable.

--- P ---
Compound: Ba2BiPb
Source: Alexandria
Functional: GGA-PBE
Structure: optimized geometry

total moment = 0.0 μB per cell
calculated volume = 42.6 Å³ per atom
crystal system = monoclinic

CIF file:
```
data_Ba2BiPb
_cell_length_a 7.0823
_cell_length_b 4.8385
_cell_length_c 10.3750
_cell_angle_alpha 90.00
_cell_angle_beta 106.75
_cell_angle_gamma 90.00
_space_group_name_H-M_alt 'P 1 21/m 1'
_space_group_IT_number 11
loop_
_space_group_symop_operation_xyz
'x,y,z'
'-x,-y,-z'
'-x,y+1/2,-z'
'x,-y+1/2,z'
loop_
_atom_site_label
_atom_site_fract_x
_atom_site_fract_y
_atom_site_fract_z
Ba1 0.1950 0.2500 0.4289
Ba2 0.2965 0.7500 0.0658
Bi1 0.1322 0.2500 0.7929
Pb1 0.3762 0.7500 0.7041
```

--- Q ---
Compound: Ba2BiPb
Source: Alexandria
Functional: GGA-PBE
Structure: optimized geometry

total moment = 0.0 μB per cell
calculated volume = 40.6 Å³ per atom
crystal system = cubic

CIF file:
```
data_Ba2BiPb
_cell_length_a 8.6597
_cell_length_b 8.6597
_cell_length_c 8.6597
_cell_angle_alpha 90.00
_cell_angle_beta 90.00
_cell_angle_gamma 90.00
_space_group_name_H-M_alt 'F m -3 m'
_space_group_IT_number 225
_space_group_name_Hall '-F 4 2 3'
loop_
_atom_site_label
_atom_site_fract_x
_atom_site_fract_y
_atom_site_fract_z
Ba1 0.2500 0.2500 0.2500
Bi1 0.0000 0.0000 0.0000
Pb1 0.0000 0.0000 0.5000
```

Stability ranking, top and bottom: P is the most stable and Q is the least stable.

--- P ---
Compound: Ba3BiPb
Source: Alexandria
Functional: GGA-PBE
Structure: optimized geometry

total moment = 0.8 μB per cell
calculated volume = 59.3 Å³ per atom
crystal system = cubic

CIF file:
```
data_Ba3BiPb
_cell_length_a 6.6672
_cell_length_b 6.6672
_cell_length_c 6.6672
_cell_angle_alpha 90.00
_cell_angle_beta 90.00
_cell_angle_gamma 90.00
_space_group_name_H-M_alt 'P m -3 m'
_space_group_IT_number 221
_space_group_name_Hall '-P 4 2 3'
loop_
_atom_site_label
_atom_site_fract_x
_atom_site_fract_y
_atom_site_fract_z
Ba1 0.0000 0.0000 0.5000
Bi1 0.0000 0.0000 0.0000
Pb1 0.5000 0.5000 0.5000
```

--- Q ---
Compound: Ba3BiPb
Source: Alexandria
Functional: GGA-PBE
Structure: optimized geometry

total moment = 0.0 μB per cell
calculated volume = 47.2 Å³ per atom
crystal system = monoclinic

CIF file:
```
data_Ba3BiPb
_cell_length_a 10.6586
_cell_length_b 9.2849
_cell_length_c 9.8052
_cell_angle_alpha 90.00
_cell_angle_beta 103.18
_cell_angle_gamma 90.00
_space_group_name_H-M_alt 'P 1 21/c 1'
_space_group_IT_number 14
loop_
_space_group_symop_operation_xyz
'x,y,z'
'-x,-y,-z'
'-x,y+1/2,-z+1/2'
'x,-y+1/2,z+1/2'
loop_
_atom_site_label
_atom_site_fract_x
_atom_site_fract_y
_atom_site_fract_z
Ba1 0.0686 0.0097 0.2049
Ba2 0.2914 0.6310 0.0854
Ba3 0.3646 0.2058 0.9629
Bi1 0.4115 0.5493 0.7618
Pb1 0.0632 0.1600 0.5404
```

Stability ranking, top and bottom: Q is the most stable and P is the least stable.

--- P ---
Compound: BaBiPb
Source: Alexandria
Functional: GGA-PBE
Structure: optimized geometry

total moment = 0.0 μB per cell
calculated volume = 37.8 Å³ per atom
crystal system = tetragonal

CIF file:
```
data_BaBiPb
_cell_length_a 4.3072
_cell_length_b 4.3072
_cell_length_c 12.2379
_cell_angle_alpha 90.00
_cell_angle_beta 90.00
_cell_angle_gamma 90.00
_space_group_name_H-M_alt 'I 4 m m'
_space_group_IT_number 107
_space_group_name_Hall 'I 4 -2'
loop_
_atom_site_label
_atom_site_fract_x
_atom_site_fract_y
_atom_site_fract_z
Ba1 0.0000 0.0000 0.0000
Bi1 0.0000 0.0000 0.3049
Pb1 0.0000 0.0000 0.7012
```

--- Q ---
Compound: BaBiPb
Source: Alexandria
Functional: GGA-PBE
Structure: optimized geometry

total moment = 0.0 μB per cell
calculated volume = 40.2 Å³ per atom
crystal system = hexagonal

CIF file:
```
data_BaBiPb
_cell_length_a 5.4308
_cell_length_b 5.4308
_cell_length_c 4.7206
_cell_angle_alpha 90.00
_cell_angle_beta 90.00
_cell_angle_gamma 120.00
_space_group_name_H-M_alt 'P -6 m 2'
_space_group_IT_number 187
_space_group_name_Hall 'P -6 2'
loop_
_atom_site_label
_atom_site_fract_x
_atom_site_fract_y
_atom_site_fract_z
Ba1 0.0000 0.0000 0.0000
Bi1 0.6667 0.3333 0.5000
Pb1 0.3333 0.6667 0.5000
```

Stability ranking, top and bottom: Q is the most stable and P is the least stable.

--- P ---
Compound: BaBiPb
Source: Alexandria
Functional: GGA-PBE
Structure: optimized geometry

total moment = 0.0 μB per cell
calculated volume = 40.4 Å³ per atom
crystal system = orthorhombic

CIF file:
```
data_BaBiPb
_cell_length_a 5.3146
_cell_length_b 9.5258
_cell_length_c 9.5857
_cell_angle_alpha 90.00
_cell_angle_beta 90.00
_cell_angle_gamma 90.00
_space_group_name_H-M_alt 'I m m m'
_space_group_IT_number 71
_space_group_name_Hall '-I 2 2'
loop_
_atom_site_label
_atom_site_fract_x
_atom_site_fract_y
_atom_site_fract_z
Ba1 0.0000 0.0000 0.2448
Bi1 0.0000 0.3327 0.5000
Pb1 0.0000 0.3385 0.0000
```

--- Q ---
Compound: BaBiPb
Source: Alexandria
Functional: GGA-PBE
Structure: optimized geometry

total moment = 0.0 μB per cell
calculated volume = 44.1 Å³ per atom
crystal system = cubic

CIF file:
```
data_BaBiPb
_cell_length_a 8.0871
_cell_length_b 8.0871
_cell_length_c 8.0871
_cell_angle_alpha 90.00
_cell_angle_beta 90.00
_cell_angle_gamma 90.00
_space_group_name_H-M_alt 'F -4 3 m'
_space_group_IT_number 216
_space_group_name_Hall 'F -4 2 3'
loop_
_atom_site_label
_atom_site_fract_x
_atom_site_fract_y
_atom_site_fract_z
Ba1 0.0000 0.0000 0.0000
Bi1 0.2500 0.2500 0.2500
Pb1 0.0000 0.0000 0.5000
```

Stability ranking, top and bottom: P is the most stable and Q is the least stable.